Entry 1:
Computed, not measured: crystalline Ca2La5Pm6 at its relaxed geometry at the GGA-PBE level of DFT.

Calculated values
**Uncorrected energy**: -4.283 eV per atom
**Energy of formation**: 0.113 eV per atom
**Total magnetic moment**: 0.000 μB/atom

Cell lengths 12.315, 21.105, 3.658 Å; angles 90.00, 90.00, 90.00 degrees
Space group Pbam (No. 55)
Unique sites:
Ca 0.166 0.215 0.000
La 0.000 0.500 0.500
La 0.095 0.781 0.500
La 0.209 0.049 0.500
Pm 0.053 0.923 0.000
Pm 0.069 0.638 0.000
Pm 0.187 0.377 0.500


Entry 2:
Computed, not measured: crystalline Ca2La4Pm at its relaxed geometry at the GGA-PBE level of DFT.

Calculated values
**Uncorrected energy**: -3.556 eV per atom
**Energy of formation**: 0.511 eV per atom
**Total magnetic moment**: 0.210 μB/atom
**Relative energy among the computed polymorphs**: 0.446 eV/atom

Cell lengths 5.864, 5.864, 18.276 Å; angles 90.00, 90.00, 90.00 degrees
Space group I4/mmm (No. 139)
Unique sites:
Ca 0.000 0.000 0.127
La 0.000 0.000 0.330
La 0.000 0.500 0.000
Pm 0.000 0.000 0.500


Entry 3:
Computed, not measured: crystalline CaLaPm at its relaxed geometry at the GGA-PBE level of DFT.

Calculated values
**Uncorrected energy**: -3.857 eV per atom
**Energy of formation**: 0.037 eV per atom
**Total magnetic moment**: 0.000 μB/atom
**Relative energy among the computed polymorphs**: 0.003 eV/atom

Cell lengths 3.7394, 3.7394, 9.3202 Å; angles 90.00, 90.00, 120.00 degrees
Space group P3m1 (No. 156)
Unique sites:
Ca 0.0000 0.0000 0.0000
La 0.3333 0.6667 0.6491
Pm 0.6667 0.3333 0.3389


Entry 4:
Computed, not measured: crystalline Ca2LaPm at its relaxed geometry at the GGA-PBE level of DFT.

Calculated values
**Uncorrected energy**: -3.303 eV per atom
**Energy of formation**: 0.117 eV per atom
**Total magnetic moment**: 0.000 μB/atom
**Relative energy among the computed polymorphs**: 0.089 eV/atom

Cell lengths 4.242, 4.242, 8.508 Å; angles 90.00, 90.00, 90.00 degrees
Space group P4/mmm (No. 123)
Unique sites:
Ca 0.000 0.000 0.243
La 0.500 0.500 0.500
Pm 0.500 0.500 0.000